DFT (PBE) results for Zr2SiNi2GeAs2 after structural relaxation.

Cell and atoms, written as POSCAR:
```
Zr2SiNi2GeAs2
1.0
3.728 0.000 0.000
0.000 3.728 0.000
0.000 0.000 9.279
Zr Ge Ni As Si
2 1 2 2 1
Direct
0.500 0.000 0.234
0.000 0.500 0.766
0.500 0.500 0.000
0.000 0.000 0.500
0.500 0.500 0.500
0.500 0.000 0.663
0.000 0.500 0.337
0.000 0.000 0.000
```

Summary:
Volume: 128.98 Å³/cell
Final energy: -6.649 eV per atom



DFT (PBE) results for Hf2ScSi2Ni4Ge2 after structural relaxation.

Cell and atoms, written as POSCAR:
```
Hf2ScSi2Ni4Ge2
1.0
-5.461 1.231 4.886
-4.083 6.172 -0.672
2.310 -6.493 -2.779
Sc Hf Ni Si Ge
1 2 4 2 2
Direct
0.000 0.000 0.000
0.625 0.125 0.500
0.375 0.875 0.500
0.371 0.671 0.700
0.629 0.329 0.300
0.971 0.671 0.300
0.029 0.329 0.700
0.310 0.500 0.810
0.690 0.500 0.190
0.785 0.785 0.000
0.215 0.215 0.000
```

Summary:
Volume: 161.50 Å³/cell
Final energy: -6.998 eV per atom
Polymorph energy (0 for the lowest one): 52 meV per atom



DFT (PBE) results for Cu2NiH6 after structural relaxation.

Cell and atoms, written as POSCAR:
```
Cu2NiH6
1.0
-2.251 -3.509 1.054
-0.426 -1.121 4.130
-3.810 0.397 1.954
Ni Cu H
1 2 6
Direct
0.000 0.000 0.000
0.250 0.250 0.250
0.750 0.750 0.750
0.251 0.251 0.749
0.251 0.749 0.749
0.749 0.251 0.749
0.251 0.749 0.251
0.749 0.749 0.251
0.749 0.251 0.251
```

Summary:
Volume: 56.22 Å³/cell
Final energy: -3.447 eV per atom



DFT (PBE) results for AlCdAu2 after structural relaxation.

Cell and atoms, written as POSCAR:
```
AlCdAu2
1.0
-1.828 -3.539 -2.478
-1.507 -3.865 2.191
-4.595 -0.913 0.253
Al Cd Au
1 1 2
Direct
0.500 0.500 0.500
0.250 0.250 0.250
0.750 0.750 0.750
0.000 0.000 0.000
```

Summary:
Volume: 73.01 Å³/cell
Final energy: -2.847 eV per atom



no.,calculated density (Mg/m³)
1,7.09
2,8.62
3,5.67
4,12.13